DFT (PBE-GGA) results for crystalline Ca2TcSe at its relaxed geometry.

Computed properties:
Formation energy from raw total energies ... 0.1984 eV/atom
DFT total energy ... -4.265 eV/atom

Lattice parameters (Å, degrees): 6.9062 6.9062 6.9062 90.00 90.00 90.00
With the nearest neighbours (Å) after each atom.
Space group F-43m (No. 216)
Asymmetric unit:
Ca1 0.0000 0.0000 0.0000 [4 per cell]  4 Se 2.99, 4 Ca 2.99
Ca2 0.2500 0.2500 0.2500 [4 per cell]  4 Tc 2.99, 4 Ca 2.99
Tc1 0.0000 0.0000 0.5000 [4 per cell]  4 Se 2.99, 4 Ca 2.99
Se1 0.2500 0.2500 0.7500 [4 per cell]  4 Tc 2.99, 4 Ca 2.99